No. 1
LaFe2Ag after structural relaxation, computed with PBE.

Lattice parameters (Å, degrees): 3.372 4.667 9.566 90.00 90.00 90.00
Space group Imm2 (No. 44)
Asymmetric unit:
La 0.000 0.000 0.000 (multiplicity 2)
Fe 0.000 0.000 0.546 (multiplicity 2)
Fe 0.000 0.500 0.219 (multiplicity 2)
Ag 0.000 0.500 0.783 (multiplicity 2)

---

No. 2
LaFe2Ag after structural relaxation, computed with PBE.

Lattice parameters (Å, degrees): 3.001 4.642 5.811 90.00 99.25 90.00
Space group P2/m (No. 10)
Asymmetric unit:
La 0.000 0.000 0.000 (multiplicity 1)
Fe 0.283 0.500 0.667 (multiplicity 2)
Ag 0.500 0.000 0.500 (multiplicity 1)

---

No. 3
LaFe2Ag after structural relaxation, computed with PBE.

Lattice parameters (Å, degrees): 4.502 4.502 18.381 90.00 90.00 90.00
Space group I4_1/amd (No. 141, origin choice 2)
Asymmetric unit:
La 0.000 0.250 0.375 (multiplicity 4)
Fe 0.000 0.000 0.000 (multiplicity 8)
Ag 0.000 0.250 0.875 (multiplicity 4)

---

No. 4
LaFeAg after structural relaxation, computed with PBE.

## Properties
energy above the most stable polymorph in this dataset	71	meV/atom

Lattice parameters (Å, degrees): 3.469 3.469 10.962 90.00 90.00 90.00
Space group I4mm (No. 107)
Asymmetric unit:
La 0.000 0.000 0.000 (multiplicity 2)
Fe 0.000 0.000 0.681 (multiplicity 2)
Ag 0.000 0.000 0.293 (multiplicity 2)

---

No. 5
LaFe2Ag after structural relaxation, computed with PBE.

Lattice parameters (Å, degrees): 4.308 4.308 3.888 90.00 90.00 90.00
Space group P4/mmm (No. 123)
Asymmetric unit:
La 0.000 0.000 0.000 (multiplicity 1)
Fe 0.000 0.500 0.500 (multiplicity 2)
Ag 0.500 0.500 0.000 (multiplicity 1)

---

No. 6
LaFe2Ag after structural relaxation, computed with PBE.

Lattice parameters (Å, degrees): 5.875 8.918 3.003 90.00 113.05 90.00
Space group C2/m (No. 12)
Asymmetric unit:
La 0.000 0.000 0.000 (multiplicity 2)
Fe 0.250 0.250 0.500 (multiplicity 4)
Ag 0.000 0.500 0.000 (multiplicity 2)

---

No. 7
La4FeAg after structural relaxation, computed with PBE.

Lattice parameters (Å, degrees): 8.929 12.830 6.294 90.00 105.27 90.00
Space group C2/c (No. 15)
Asymmetric unit:
La 0.106 0.159 0.037 (multiplicity 8)
La 0.204 0.413 0.400 (multiplicity 8)
Fe 0.000 0.002 0.750 (multiplicity 4)
Ag 0.000 0.373 0.750 (multiplicity 4)

---

No. 8
LaFe2Ag2 after structural relaxation, computed with PBE.

## Properties
energy above the most stable polymorph in this dataset	0	meV/atom

Lattice parameters (Å, degrees): 4.149 4.149 11.360 90.00 90.00 90.00
Space group I4/mmm (No. 139)
Asymmetric unit:
La 0.000 0.000 0.000 (multiplicity 2)
Fe 0.000 0.000 0.403 (multiplicity 4)
Ag 0.000 0.500 0.250 (multiplicity 4)

---

No. 9
La12Fe5Ag3 after structural relaxation, computed with PBE.

Lattice parameters (Å, degrees): 16.922 16.922 16.922 90.00 90.00 90.00
Space group Ia-3d (No. 230)
Asymmetric unit:
La 0.033 0.053 0.649 (multiplicity 96)
Fe 0.000 0.000 0.000 (multiplicity 16)
Fe 0.000 0.250 0.375 (multiplicity 24)
Ag 0.000 0.250 0.125 (multiplicity 24)

---

No. 10
LaFeAg3 after structural relaxation, computed with PBE.

## Properties
energy above the most stable polymorph in this dataset	1150	meV/atom

Lattice parameters (Å, degrees): 5.568 5.568 5.568 90.00 90.00 90.00
Space group Pm-3m (No. 221)
Asymmetric unit:
La 0.000 0.000 0.000 (multiplicity 1)
Fe 0.500 0.500 0.500 (multiplicity 1)
Ag 0.000 0.000 0.500 (multiplicity 3)

---

No. 11
LaFe2Ag after structural relaxation, computed with PBE.

Lattice parameters (Å, degrees): 3.153 3.153 7.460 90.00 90.00 90.00
Space group P4mm (No. 99)
Asymmetric unit:
La 0.000 0.000 0.000 (multiplicity 1)
Fe 0.000 0.000 0.567 (multiplicity 1)
Fe 0.500 0.500 0.711 (multiplicity 1)
Ag 0.500 0.500 0.337 (multiplicity 1)

---

No. 12
LaFe2Ag after structural relaxation, computed with PBE.

Lattice parameters (Å, degrees): 3.453 3.453 6.503 90.00 90.00 90.00
Space group P4/mmm (No. 123)
Asymmetric unit:
La 0.000 0.000 0.000 (multiplicity 1)
Fe 0.500 0.500 0.320 (multiplicity 2)
Ag 0.000 0.000 0.500 (multiplicity 1)

---

No. 13
LaFe2Ag after structural relaxation, computed with PBE.

Lattice parameters (Å, degrees): 7.714 4.451 5.408 90.00 118.57 90.00
Space group C2/m (No. 12)
Asymmetric unit:
La 0.000 0.000 0.000 (multiplicity 2)
Fe 0.188 0.000 0.562 (multiplicity 4)
Ag 0.000 0.500 0.500 (multiplicity 2)

---

Number 1: DFT total energy -23.5 eV/f.u.. Number 2: DFT total energy -22.8 eV/f.u.. Number 3: DFT total energy -22.7 eV/f.u.. Number 4: DFT total energy -15.5 eV/f.u.. Number 5: DFT total energy -22.9 eV/f.u.. Number 6: DFT total energy -22.5 eV/f.u.. Number 7: DFT total energy -31.4 eV/f.u.. Number 8: DFT total energy -26.6 eV/f.u.. Number 9: DFT total energy -107.0 eV/f.u.. Number 10: DFT total energy -14.4 eV/f.u.. Number 11: DFT total energy -23.9 eV/f.u.. Number 12: DFT total energy -23.1 eV/f.u.. Number 13: DFT total energy -23.7 eV/f.u..